(1)
# InReAu3 (SCAN, single point on PBEsol structure)
data_InReAu3
_space_group_name_H-M_alt 'P m -3 m'
_space_group_IT_number 221
_space_group_name_Hall '-P 4 2 3'
_cell_length_a 4.9946
_cell_length_b 4.9946
_cell_length_c 4.9946
_cell_angle_alpha 90.00
_cell_angle_beta 90.00
_cell_angle_gamma 90.00
loop_
_atom_site_label
_atom_site_type_symbol
_atom_site_fract_x
_atom_site_fract_y
_atom_site_fract_z
_atom_site_occupancy
In1 In 0.0000 0.0000 0.0000 1
Re1 Re 0.5000 0.5000 0.5000 1
Au1 Au 0.0000 0.0000 0.5000 1
# crystal system	cubic
# formation energy	8.26	eV/f.u.

(2)
# ReRu2W (SCAN, single point on PBEsol structure)
data_ReRu2W
_space_group_name_H-M_alt 'I -4 m 2'
_space_group_IT_number 119
_space_group_name_Hall 'I -4 -2'
_cell_length_a 3.8351
_cell_length_b 3.8351
_cell_length_c 7.7529
_cell_angle_alpha 90.00
_cell_angle_beta 90.00
_cell_angle_gamma 90.00
loop_
_atom_site_label
_atom_site_type_symbol
_atom_site_fract_x
_atom_site_fract_y
_atom_site_fract_z
_atom_site_occupancy
Re1 Re 0.0000 0.0000 0.0000 1
Ru1 Ru 0.0000 0.0000 0.5000 1
Ru2 Ru 0.0000 0.5000 0.2500 1
W1 W 0.0000 0.5000 0.7500 1
# crystal system	tetragonal
# formation energy	0.20	eV/f.u.

(3)
# KCuCl2 (SCAN, single point on PBEsol structure)
data_KCuCl2
_space_group_name_H-M_alt 'P m m m'
_space_group_IT_number 47
_space_group_name_Hall '-P 2 2'
_cell_length_a 3.3789
_cell_length_b 4.8683
_cell_length_c 4.8976
_cell_angle_alpha 90.00
_cell_angle_beta 90.00
_cell_angle_gamma 90.00
loop_
_atom_site_label
_atom_site_type_symbol
_atom_site_fract_x
_atom_site_fract_y
_atom_site_fract_z
_atom_site_occupancy
K1 K 0.0000 0.0000 0.0000 1
Cu1 Cu 0.0000 0.5000 0.5000 1
Cl1 Cl 0.5000 0.0000 0.5000 1
Cl2 Cl 0.5000 0.5000 0.0000 1
# E_form (uncorrected)	-353	kJ/mol of formula units
# crystal system	orthorhombic

(4)
# BeNbTc2Ni (SCAN, single point on PBEsol structure)
data_BeNbTc2Ni
_space_group_name_H-M_alt 'P 4/m m m'
_space_group_IT_number 123
_space_group_name_Hall '-P 4 2'
_cell_length_a 4.6281
_cell_length_b 4.6281
_cell_length_c 4.4516
_cell_angle_alpha 90.00
_cell_angle_beta 90.00
_cell_angle_gamma 90.00
loop_
_atom_site_label
_atom_site_type_symbol
_atom_site_fract_x
_atom_site_fract_y
_atom_site_fract_z
_atom_site_occupancy
Be1 Be 0.0000 0.0000 0.0000 1
Nb1 Nb 0.5000 0.5000 0.5000 1
Tc1 Tc 0.0000 0.5000 0.5000 1
Ni1 Ni 0.5000 0.5000 0.0000 1
# crystal system	tetragonal
# formation energy	9.71	eV/f.u.

(5)
# LiCdSb2I (SCAN, single point on PBEsol structure)
data_LiCdSb2I
_space_group_name_H-M_alt 'P 4/m m m'
_space_group_IT_number 123
_space_group_name_Hall '-P 4 2'
_cell_length_a 5.4077
_cell_length_b 5.4077
_cell_length_c 6.2756
_cell_angle_alpha 90.00
_cell_angle_beta 90.00
_cell_angle_gamma 90.00
loop_
_atom_site_label
_atom_site_type_symbol
_atom_site_fract_x
_atom_site_fract_y
_atom_site_fract_z
_atom_site_occupancy
Li1 Li 0.0000 0.0000 0.0000 1
Cd1 Cd 0.5000 0.5000 0.5000 1
Sb1 Sb 0.0000 0.5000 0.5000 1
I1 I 0.5000 0.5000 0.0000 1
# E_form (uncorrected)	149	kJ/mol of formula units
# crystal system	tetragonal

(6)
# Re3NiW (SCAN, single point on PBEsol structure)
data_Re3NiW
_space_group_name_H-M_alt 'P m -3 m'
_space_group_IT_number 221
_space_group_name_Hall '-P 4 2 3'
_cell_length_a 4.6383
_cell_length_b 4.6383
_cell_length_c 4.6383
_cell_angle_alpha 90.00
_cell_angle_beta 90.00
_cell_angle_gamma 90.00
loop_
_atom_site_label
_atom_site_type_symbol
_atom_site_fract_x
_atom_site_fract_y
_atom_site_fract_z
_atom_site_occupancy
Re1 Re 0.0000 0.0000 0.5000 1
Ni1 Ni 0.5000 0.5000 0.5000 1
W1 W 0.0000 0.0000 0.0000 1
# crystal system	cubic
# formation energy	13.48	eV/f.u.

(7)
# RbAs (SCAN, single point on PBEsol structure)
data_RbAs
_space_group_name_H-M_alt 'P 21 21 21'
_space_group_IT_number 19
_space_group_name_Hall 'P 2ac 2ab'
_cell_length_a 6.5877
_cell_length_b 6.8954
_cell_length_c 11.9586
_cell_angle_alpha 90.00
_cell_angle_beta 90.00
_cell_angle_gamma 90.00
loop_
_atom_site_label
_atom_site_type_symbol
_atom_site_fract_x
_atom_site_fract_y
_atom_site_fract_z
_atom_site_occupancy
Rb1 Rb 0.0980 0.1098 0.4171 1
Rb2 Rb 0.1696 0.3478 0.7845 1
As1 As 0.0911 0.5724 0.5305 1
As2 As 0.1701 0.1823 0.1085 1
# crystal system	orthorhombic
# formation energy	-1.11	eV/f.u.

(8)
# ScCo3Re (SCAN, single point on PBEsol structure)
data_ScCo3Re
_space_group_name_H-M_alt 'P m -3 m'
_space_group_IT_number 221
_space_group_name_Hall '-P 4 2 3'
_cell_length_a 4.3701
_cell_length_b 4.3701
_cell_length_c 4.3701
_cell_angle_alpha 90.00
_cell_angle_beta 90.00
_cell_angle_gamma 90.00
loop_
_atom_site_label
_atom_site_type_symbol
_atom_site_fract_x
_atom_site_fract_y
_atom_site_fract_z
_atom_site_occupancy
Sc1 Sc 0.0000 0.0000 0.0000 1
Co1 Co 0.0000 0.5000 0.5000 1
Re1 Re 0.5000 0.5000 0.5000 1
# crystal system	cubic
# formation energy	4.51	eV/f.u.

(9)
# ZnH2Rh (SCAN, single point on PBEsol structure)
data_ZnH2Rh
_space_group_name_H-M_alt 'F m -3 m'
_space_group_IT_number 225
_space_group_name_Hall '-F 4 2 3'
_cell_length_a 5.0893
_cell_length_b 5.0893
_cell_length_c 5.0893
_cell_angle_alpha 90.00
_cell_angle_beta 90.00
_cell_angle_gamma 90.00
loop_
_atom_site_label
_atom_site_type_symbol
_atom_site_fract_x
_atom_site_fract_y
_atom_site_fract_z
_atom_site_occupancy
Zn1 Zn 0.0000 0.0000 0.0000 1
H1 H 0.2500 0.2500 0.2500 1
Rh1 Rh 0.0000 0.0000 0.5000 1
# crystal system	cubic
# total DFT energy (no corrections)	-210.44	eV/cell

(10)
# Sc3Ag2 (SCAN, single point on PBEsol structure)
data_Sc3Ag2
_space_group_name_H-M_alt 'I 4/m m m'
_space_group_IT_number 139
_space_group_name_Hall '-I 4 2'
_cell_length_a 3.4728
_cell_length_b 3.4728
_cell_length_c 16.7982
_cell_angle_alpha 90.00
_cell_angle_beta 90.00
_cell_angle_gamma 90.00
loop_
_atom_site_label
_atom_site_type_symbol
_atom_site_fract_x
_atom_site_fract_y
_atom_site_fract_z
_atom_site_occupancy
Sc1 Sc 0.0000 0.0000 0.0000 1
Sc2 Sc 0.0000 0.0000 0.3824 1
Ag1 Ag 0.0000 0.0000 0.2050 1
# crystal system	tetragonal
# formation energy	-0.92	eV/f.u.

(11)
# CsZr2PH (SCAN, single point on PBEsol structure)
data_CsZr2PH
_space_group_name_H-M_alt 'P 4/m m m'
_space_group_IT_number 123
_space_group_name_Hall '-P 4 2'
_cell_length_a 4.8816
_cell_length_b 4.8816
_cell_length_c 7.1155
_cell_angle_alpha 90.00
_cell_angle_beta 90.00
_cell_angle_gamma 90.00
loop_
_atom_site_label
_atom_site_type_symbol
_atom_site_fract_x
_atom_site_fract_y
_atom_site_fract_z
_atom_site_occupancy
Cs1 Cs 0.0000 0.0000 0.0000 1
Zr1 Zr 0.0000 0.5000 0.5000 1
P1 P 0.0000 0.0000 0.5000 1
H1 H 0.5000 0.5000 0.0000 1
# crystal system	tetragonal
# total DFT energy (no corrections)	-110.46	eV/cell

(12)
# Cd3Au (SCAN, single point on PBEsol structure)
data_Cd3Au
_space_group_name_H-M_alt 'C m c m'
_space_group_IT_number 63
_space_group_name_Hall '-C 2c 2'
_cell_length_a 5.9811
_cell_length_b 10.6006
_cell_length_c 4.8084
_cell_angle_alpha 90.00
_cell_angle_beta 90.00
_cell_angle_gamma 90.00
loop_
_atom_site_label
_atom_site_type_symbol
_atom_site_fract_x
_atom_site_fract_y
_atom_site_fract_z
_atom_site_occupancy
Cd1 Cd 0.0000 0.0836 0.2500 1
Cd2 Cd 0.2450 0.3384 0.2500 1
Au1 Au 0.0000 0.4098 0.7500 1
# crystal system	orthorhombic
# formation energy	-0.50	eV/f.u.

(13)
# CaScSb2 (SCAN, single point on PBEsol structure)
data_CaScSb2
_space_group_name_H-M_alt 'R -3 m'
_space_group_IT_number 166
_space_group_name_Hall '-R 3 2"'
_cell_length_a 4.1960
_cell_length_b 4.1960
_cell_length_c 21.7217
_cell_angle_alpha 90.00
_cell_angle_beta 90.00
_cell_angle_gamma 120.00
loop_
_atom_site_label
_atom_site_type_symbol
_atom_site_fract_x
_atom_site_fract_y
_atom_site_fract_z
_atom_site_occupancy
Ca1 Ca 0.0000 0.0000 0.0000 1
Sc1 Sc 0.0000 0.0000 0.5000 1
Sb1 Sb 0.0000 0.0000 0.2409 1
# E_form (uncorrected)	-354	kJ/mol of formula units
# crystal system	trigonal

(14)
# PtAuBr2 (SCAN, single point on PBEsol structure)
data_PtAuBr2
_space_group_name_H-M_alt 'I -4 2 d'
_space_group_IT_number 122
_space_group_name_Hall 'I -4 2bw'
_cell_length_a 6.1548
_cell_length_b 6.1548
_cell_length_c 10.9748
_cell_angle_alpha 90.00
_cell_angle_beta 90.00
_cell_angle_gamma 90.00
loop_
_atom_site_label
_atom_site_type_symbol
_atom_site_fract_x
_atom_site_fract_y
_atom_site_fract_z
_atom_site_occupancy
Pt1 Pt 0.0000 0.0000 0.0000 1
Au1 Au 0.0000 0.0000 0.5000 1
Br1 Br 0.2294 0.2500 0.1250 1
# E_form (uncorrected)	213	kJ/mol of formula units
# crystal system	tetragonal

(15)
# KCuBr (SCAN, single point on PBEsol structure)
data_KCuBr
_space_group_name_H-M_alt 'P -6 m 2'
_space_group_IT_number 187
_space_group_name_Hall 'P -6 2'
_cell_length_a 4.6322
_cell_length_b 4.6322
_cell_length_c 4.3526
_cell_angle_alpha 90.00
_cell_angle_beta 90.00
_cell_angle_gamma 120.00
loop_
_atom_site_label
_atom_site_type_symbol
_atom_site_fract_x
_atom_site_fract_y
_atom_site_fract_z
_atom_site_occupancy
K1 K 0.0000 0.0000 0.0000 1
Cu1 Cu 0.6667 0.3333 0.5000 1
Br1 Br 0.3333 0.6667 0.5000 1
# E_form (uncorrected)	-78	kJ/mol of formula units
# crystal system	hexagonal

(16)
# YScMn3 (SCAN, single point on PBEsol structure)
data_YScMn3
_space_group_name_H-M_alt 'P m -3 m'
_space_group_IT_number 221
_space_group_name_Hall '-P 4 2 3'
_cell_length_a 4.6157
_cell_length_b 4.6157
_cell_length_c 4.6157
_cell_angle_alpha 90.00
_cell_angle_beta 90.00
_cell_angle_gamma 90.00
loop_
_atom_site_label
_atom_site_type_symbol
_atom_site_fract_x
_atom_site_fract_y
_atom_site_fract_z
_atom_site_occupancy
Y1 Y 0.0000 0.0000 0.0000 1
Sc1 Sc 0.5000 0.5000 0.5000 1
Mn1 Mn 0.0000 0.5000 0.5000 1
# crystal system	cubic
# formation energy	3.08	eV/f.u.

(17)
# ZrCrTc (SCAN, single point on PBEsol structure)
data_ZrCrTc
_space_group_name_H-M_alt 'F -4 3 m'
_space_group_IT_number 216
_space_group_name_Hall 'F -4 2 3'
_cell_length_a 6.0737
_cell_length_b 6.0737
_cell_length_c 6.0737
_cell_angle_alpha 90.00
_cell_angle_beta 90.00
_cell_angle_gamma 90.00
loop_
_atom_site_label
_atom_site_type_symbol
_atom_site_fract_x
_atom_site_fract_y
_atom_site_fract_z
_atom_site_occupancy
Zr1 Zr 0.0000 0.0000 0.0000 1
Cr1 Cr 0.2500 0.2500 0.7500 1
Tc1 Tc 0.2500 0.2500 0.2500 1
# crystal system	cubic
# formation energy	2.96	eV/f.u.

(18)
# InCoHg2W (SCAN, single point on PBEsol structure)
data_InCoHg2W
_space_group_name_H-M_alt 'P 4/m m m'
_space_group_IT_number 123
_space_group_name_Hall '-P 4 2'
_cell_length_a 5.3329
_cell_length_b 5.3329
_cell_length_c 4.3370
_cell_angle_alpha 90.00
_cell_angle_beta 90.00
_cell_angle_gamma 90.00
loop_
_atom_site_label
_atom_site_type_symbol
_atom_site_fract_x
_atom_site_fract_y
_atom_site_fract_z
_atom_site_occupancy
In1 In 0.0000 0.0000 0.0000 1
Co1 Co 0.5000 0.5000 0.0000 1
Hg1 Hg 0.0000 0.5000 0.5000 1
W1 W 0.5000 0.5000 0.5000 1
# crystal system	tetragonal
# formation energy	5.83	eV/f.u.

(19)
# Cu7PSe6 (SCAN, single point on PBEsol structure)
data_Cu7PSe6
_space_group_name_H-M_alt 'P n a 21'
_space_group_IT_number 33
_space_group_name_Hall 'P 2c -2n'
_cell_length_a 14.1742
_cell_length_b 7.0510
_cell_length_c 9.9072
_cell_angle_alpha 90.00
_cell_angle_beta 90.00
_cell_angle_gamma 90.00
loop_
_atom_site_label
_atom_site_type_symbol
_atom_site_fract_x
_atom_site_fract_y
_atom_site_fract_z
_atom_site_occupancy
Cu1 Cu 0.0441 0.0747 0.0428 1
Cu2 Cu 0.0568 0.4468 0.3817 1
Cu3 Cu 0.1220 0.6861 0.2242 1
Cu4 Cu 0.1585 0.0186 0.3061 1
Cu5 Cu 0.2072 0.7283 0.6942 1
Cu6 Cu 0.2306 0.5512 0.4573 1
Cu7 Cu 0.2320 0.4205 0.0000 1
P1 P 0.1251 0.2493 0.7064 1
Se1 Se 0.0024 0.2483 0.5666 1
Se2 Se 0.1081 0.7775 0.4604 1
Se3 Se 0.1179 0.5132 0.8307 1
Se4 Se 0.1244 0.2911 0.1848 1
Se5 Se 0.1289 0.9909 0.8331 1
Se6 Se 0.2481 0.7532 0.0746 1
# E_form (uncorrected)	-131	kJ/mol of formula units
# crystal system	orthorhombic

(20)
# CrCoSe2 (SCAN, single point on PBEsol structure)
data_CrCoSe2
_space_group_name_H-M_alt 'R -3 m'
_space_group_IT_number 166
_space_group_name_Hall '-R 3 2"'
_cell_length_a 3.4414
_cell_length_b 3.4414
_cell_length_c 22.1191
_cell_angle_alpha 90.00
_cell_angle_beta 90.00
_cell_angle_gamma 120.00
loop_
_atom_site_label
_atom_site_type_symbol
_atom_site_fract_x
_atom_site_fract_y
_atom_site_fract_z
_atom_site_occupancy
Cr1 Cr 0.0000 0.0000 0.0000 1
Co1 Co 0.0000 0.0000 0.5000 1
Se1 Se 0.0000 0.0000 0.1105 1
# E_form (uncorrected)	-48	kJ/mol of formula units
# crystal system	trigonal

Number 1: calculated volume 24.919 Å³ per atom. Number 2: calculated volume 14.254 Å³ per atom. Number 3: calculated volume 20.141 Å³ per atom. Number 4: calculated volume 19.070 Å³ per atom. Number 5: calculated volume 36.703 Å³ per atom. Number 6: calculated volume 19.957 Å³ per atom. Number 7: calculated volume 33.952 Å³ per atom. Number 8: calculated volume 16.692 Å³ per atom. Number 9: calculated volume 8.239 Å³ per atom. Number 10: calculated volume 20.259 Å³ per atom. Number 11: calculated volume 33.913 Å³ per atom. Number 12: calculated volume 19.054 Å³ per atom. Number 13: calculated volume 27.600 Å³ per atom. Number 14: calculated volume 25.984 Å³ per atom. Number 15: calculated volume 26.961 Å³ per atom. Number 16: calculated volume 19.667 Å³ per atom. Number 17: calculated volume 18.672 Å³ per atom. Number 18: calculated volume 24.669 Å³ per atom. Number 19: calculated volume 17.681 Å³ per atom. Number 20: calculated volume 18.906 Å³ per atom.